[1]
# KYSe2O6 | Alexandria via LeMat-Bulk | PBE-GGA | relaxed
data_KYSe2O6
_cell_length_a 5.657
_cell_length_b 5.657
_cell_length_c 7.095
_cell_angle_alpha 66.51
_cell_angle_beta 66.51
_cell_angle_gamma 60.00
_space_group_name_H-M_alt 'P 1'
_space_group_IT_number 1
loop_
_space_group_symop_operation_xyz
'x,y,z'
loop_
_atom_site_label
_atom_site_fract_x
_atom_site_fract_y
_atom_site_fract_z
_atom_site_occupancy
O1 0.934 0.486 0.289 1
K1 0.000 0.000 0.000 1
Y1 0.500 0.500 0.500 1
O2 0.709 0.066 0.711 1
O3 0.066 0.514 0.711 1
O4 0.486 0.291 0.289 1
Se1 0.273 0.273 0.180 1
O5 0.291 0.934 0.289 1
O6 0.514 0.709 0.711 1
Se2 0.727 0.727 0.820 1
# density	3.6	g/cm3
# ΔE_f (raw)	-17.4	eV/f.u.

=====

[2]
# KYSe2O6 | Alexandria via LeMat-Bulk | PBE-GGA | relaxed
data_KYSe2O6
_cell_length_a 5.812
_cell_length_b 8.953
_cell_length_c 13.722
_cell_angle_alpha 90.00
_cell_angle_beta 90.00
_cell_angle_gamma 90.00
_space_group_name_H-M_alt 'P 1'
_space_group_IT_number 1
loop_
_space_group_symop_operation_xyz
'x,y,z'
loop_
_atom_site_label
_atom_site_fract_x
_atom_site_fract_y
_atom_site_fract_z
_atom_site_occupancy
O1 0.017 0.391 0.712 1
O2 0.983 0.891 0.788 1
O3 0.250 0.919 0.324 1
K1 0.750 0.010 0.380 1
O4 0.517 0.891 0.788 1
Y1 0.250 0.810 0.898 1
O5 0.483 0.109 0.212 1
O6 0.520 0.791 0.500 1
Y2 0.750 0.190 0.102 1
O7 0.980 0.791 0.500 1
Y3 0.750 0.310 0.602 1
Se1 0.250 0.282 0.435 1
K2 0.750 0.490 0.880 1
O8 0.750 0.081 0.676 1
K3 0.250 0.990 0.620 1
O9 0.020 0.291 0.000 1
O10 0.483 0.391 0.712 1
Se2 0.250 0.990 0.207 1
O11 0.750 0.965 0.028 1
O12 0.520 0.709 0.000 1
O13 0.750 0.419 0.176 1
O14 0.017 0.109 0.212 1
O15 0.980 0.709 0.000 1
O16 0.983 0.609 0.288 1
O17 0.250 0.035 0.972 1
Se3 0.750 0.718 0.565 1
O18 0.020 0.209 0.500 1
O19 0.750 0.535 0.528 1
O20 0.480 0.291 0.000 1
Se4 0.250 0.510 0.707 1
Se5 0.250 0.218 0.935 1
O21 0.250 0.581 0.824 1
O22 0.517 0.609 0.288 1
K4 0.250 0.510 0.120 1
O23 0.480 0.209 0.500 1
Y4 0.250 0.690 0.398 1
Se6 0.750 0.010 0.793 1
Se7 0.750 0.782 0.065 1
Se8 0.750 0.490 0.293 1
O24 0.250 0.465 0.472 1
# density	3.6	g/cm3
# ΔE_f (raw)	-18.0	eV/f.u.

=====

[3]
# KY3Se4O12 | Alexandria via LeMat-Bulk | PBE-GGA | relaxed
data_KY3Se4O12
_cell_length_a 7.629
_cell_length_b 7.629
_cell_length_c 7.629
_cell_angle_alpha 107.25
_cell_angle_beta 107.25
_cell_angle_gamma 107.25
_space_group_name_H-M_alt 'P 1'
_space_group_IT_number 1
loop_
_space_group_symop_operation_xyz
'x,y,z'
loop_
_atom_site_label
_atom_site_fract_x
_atom_site_fract_y
_atom_site_fract_z
_atom_site_occupancy
O1 0.116 0.884 0.500 1
O2 0.655 0.500 0.345 1
O3 0.500 0.116 0.884 1
O4 0.078 0.626 0.780 1
Se1 0.065 0.500 0.935 1
O5 0.345 0.655 0.500 1
O6 0.780 0.078 0.626 1
O7 0.220 0.374 0.922 1
K1 0.000 0.000 0.000 1
Y1 0.566 0.434 0.000 1
O8 0.626 0.780 0.078 1
O9 0.922 0.220 0.374 1
Se2 0.500 0.500 0.500 1
Se3 0.500 0.935 0.065 1
Y2 0.000 0.566 0.434 1
O10 0.884 0.500 0.116 1
Se4 0.935 0.065 0.500 1
Y3 0.434 0.000 0.566 1
O11 0.500 0.345 0.655 1
O12 0.374 0.922 0.220 1
# density	3.7	g/cm3
# ΔE_f (raw)	-32.0	eV/f.u.

=====

[4]
# K2Zn3Se4O12 | Alexandria via LeMat-Bulk | PBE-GGA | relaxed
data_K2Zn3Se4O12
_cell_length_a 7.341
_cell_length_b 7.341
_cell_length_c 13.978
_cell_angle_alpha 87.97
_cell_angle_beta 87.97
_cell_angle_gamma 74.89
_space_group_name_H-M_alt 'P 1'
_space_group_IT_number 1
loop_
_space_group_symop_operation_xyz
'x,y,z'
loop_
_atom_site_label
_atom_site_fract_x
_atom_site_fract_y
_atom_site_fract_z
_atom_site_occupancy
O1 0.521 0.647 0.094 1
Zn1 0.005 0.995 0.250 1
O2 0.771 0.494 0.348 1
K1 0.803 0.781 0.981 1
O3 0.326 0.913 0.676 1
Se1 0.286 0.676 0.130 1
O4 0.215 0.916 0.145 1
O5 0.916 0.215 0.645 1
Se2 0.590 0.021 0.219 1
O6 0.494 0.771 0.848 1
O7 0.074 0.190 0.332 1
Se3 0.676 0.286 0.630 1
O8 0.084 0.785 0.355 1
O9 0.190 0.074 0.832 1
Se4 0.324 0.714 0.370 1
O10 0.356 0.816 0.477 1
Se5 0.410 0.979 0.781 1
O11 0.816 0.356 0.977 1
Zn2 0.379 0.678 0.602 1
O12 0.674 0.087 0.324 1
Se6 0.021 0.590 0.719 1
O13 0.479 0.353 0.906 1
K2 0.197 0.219 0.019 1
Zn3 0.678 0.379 0.102 1
O14 0.229 0.506 0.652 1
O15 0.926 0.810 0.668 1
O16 0.506 0.229 0.152 1
O17 0.644 0.184 0.523 1
Zn4 0.995 0.005 0.750 1
O18 0.913 0.326 0.176 1
Se7 0.979 0.410 0.281 1
O19 0.353 0.479 0.406 1
K3 0.219 0.197 0.519 1
Zn5 0.621 0.322 0.398 1
Zn6 0.322 0.621 0.898 1
O20 0.184 0.644 0.023 1
K4 0.781 0.803 0.481 1
Se8 0.714 0.324 0.870 1
O21 0.087 0.674 0.824 1
O22 0.785 0.084 0.855 1
O23 0.647 0.521 0.594 1
O24 0.810 0.926 0.168 1
# density	3.6	g/cm3
# ΔE_f (raw)	-25.9	eV/f.u.

=====

[5]
# K2ZnSeO4 | Alexandria via LeMat-Bulk | PBE-GGA | relaxed
data_K2ZnSeO4
_cell_length_a 5.495
_cell_length_b 6.822
_cell_length_c 9.889
_cell_angle_alpha 83.57
_cell_angle_beta 73.87
_cell_angle_gamma 66.25
_space_group_name_H-M_alt 'P 1'
_space_group_IT_number 1
loop_
_space_group_symop_operation_xyz
'x,y,z'
loop_
_atom_site_label
_atom_site_fract_x
_atom_site_fract_y
_atom_site_fract_z
_atom_site_occupancy
O1 0.871 0.692 0.580 1
Se1 0.250 0.500 0.500 1
K1 0.932 0.500 0.135 1
O2 0.608 0.192 0.080 1
O3 0.312 0.808 0.080 1
O4 0.142 0.308 0.420 1
Zn1 0.750 0.500 0.500 1
Zn2 0.000 0.000 0.000 1
O5 0.438 0.692 0.420 1
O6 0.879 0.808 0.920 1
K2 0.568 0.500 0.865 1
K3 0.818 0.000 0.365 1
Se2 0.500 0.000 0.000 1
K4 0.182 0.000 0.635 1
O7 0.549 0.308 0.580 1
O8 0.201 0.192 0.920 1
# density	2.9	g/cm3
# ΔE_f (raw)	-8.0	eV/f.u.

=====

[6]
# KZn3Se4O12 | Alexandria via LeMat-Bulk | PBE-GGA | relaxed
data_KZn3Se4O12
_cell_length_a 7.100
_cell_length_b 7.100
_cell_length_c 7.100
_cell_angle_alpha 106.62
_cell_angle_beta 106.62
_cell_angle_gamma 106.62
_space_group_name_H-M_alt 'P 1'
_space_group_IT_number 1
loop_
_space_group_symop_operation_xyz
'x,y,z'
loop_
_atom_site_label
_atom_site_fract_x
_atom_site_fract_y
_atom_site_fract_z
_atom_site_occupancy
Zn1 0.565 0.435 0.000 1
O1 0.050 0.625 0.762 1
O2 0.762 0.050 0.625 1
O3 0.500 0.342 0.658 1
Se1 0.500 0.500 0.500 1
O4 0.113 0.887 0.500 1
O5 0.625 0.762 0.050 1
Se2 0.057 0.500 0.943 1
O6 0.887 0.500 0.113 1
K1 0.000 0.000 0.000 1
Zn2 0.000 0.565 0.435 1
O7 0.342 0.658 0.500 1
O8 0.238 0.375 0.950 1
O9 0.500 0.113 0.887 1
O10 0.658 0.500 0.342 1
O11 0.375 0.950 0.238 1
Se3 0.500 0.943 0.057 1
Se4 0.943 0.057 0.500 1
Zn3 0.435 0.000 0.565 1
O12 0.950 0.238 0.375 1
# density	4.1	g/cm3
# ΔE_f (raw)	-13.0	eV/f.u.

=====

[7]
# KZnSe2O6 | Alexandria via LeMat-Bulk | PBE-GGA | relaxed
data_KZnSe2O6
_cell_length_a 5.518
_cell_length_b 5.518
_cell_length_c 6.729
_cell_angle_alpha 65.79
_cell_angle_beta 65.79
_cell_angle_gamma 60.00
_space_group_name_H-M_alt 'P 1'
_space_group_IT_number 1
loop_
_space_group_symop_operation_xyz
'x,y,z'
loop_
_atom_site_label
_atom_site_fract_x
_atom_site_fract_y
_atom_site_fract_z
_atom_site_occupancy
O1 0.709 0.084 0.701 1
O2 0.494 0.291 0.299 1
Se1 0.266 0.266 0.203 1
O3 0.916 0.494 0.299 1
Zn1 0.500 0.500 0.500 1
K1 0.000 0.000 0.000 1
Se2 0.734 0.734 0.797 1
O4 0.084 0.506 0.701 1
O5 0.291 0.916 0.299 1
O6 0.506 0.709 0.701 1
# density	3.8	g/cm3
# ΔE_f (raw)	-9.7	eV/f.u.

=====

[8]
# KZnSe2O8 | Alexandria via LeMat-Bulk | PBE-GGA | relaxed
data_KZnSe2O8
_cell_length_a 5.087
_cell_length_b 5.087
_cell_length_c 8.868
_cell_angle_alpha 73.33
_cell_angle_beta 73.33
_cell_angle_gamma 60.00
_space_group_name_H-M_alt 'P 1'
_space_group_IT_number 1
loop_
_space_group_symop_operation_xyz
'x,y,z'
loop_
_atom_site_label
_atom_site_fract_x
_atom_site_fract_y
_atom_site_fract_z
_atom_site_occupancy
Zn1 0.000 0.000 0.000 1
O1 0.196 0.196 0.411 1
O2 0.804 0.804 0.589 1
O3 0.978 0.608 0.151 1
K1 0.500 0.500 0.500 1
O4 0.022 0.392 0.849 1
O5 0.392 0.737 0.849 1
O6 0.737 0.022 0.849 1
O7 0.263 0.978 0.151 1
O8 0.608 0.263 0.151 1
Se1 0.263 0.263 0.211 1
Se2 0.737 0.737 0.789 1
# density	3.5	g/cm3
# ΔE_f (raw)	-10.3	eV/f.u.

=====

[9]
# KZrSeO5 | Alexandria via LeMat-Bulk | PBE-GGA | relaxed
data_KZrSeO5
_cell_length_a 6.117
_cell_length_b 6.117
_cell_length_c 7.838
_cell_angle_alpha 105.05
_cell_angle_beta 105.05
_cell_angle_gamma 105.30
_space_group_name_H-M_alt 'P 1'
_space_group_IT_number 1
loop_
_space_group_symop_operation_xyz
'x,y,z'
loop_
_atom_site_label
_atom_site_fract_x
_atom_site_fract_y
_atom_site_fract_z
_atom_site_occupancy
O1 0.057 0.943 0.250 1
O2 0.297 0.880 0.610 1
Se1 0.686 0.314 0.250 1
O3 0.619 0.763 0.901 1
O4 0.880 0.297 0.110 1
K1 0.326 0.674 0.250 1
Zr1 0.000 0.000 0.500 1
K2 0.674 0.326 0.750 1
O5 0.703 0.120 0.390 1
O6 0.763 0.619 0.401 1
O7 0.381 0.237 0.099 1
Se2 0.314 0.686 0.750 1
O8 0.943 0.057 0.750 1
O9 0.120 0.703 0.890 1
O10 0.237 0.381 0.599 1
Zr2 0.000 0.000 0.000 1
# density	3.8	g/cm3
# ΔE_f (raw)	-14.2	eV/f.u.

=====

[10]
# KZrSe2O8 | Alexandria via LeMat-Bulk | PBE-GGA | relaxed
data_KZrSe2O8
_cell_length_a 5.357
_cell_length_b 5.357
_cell_length_c 8.172
_cell_angle_alpha 87.97
_cell_angle_beta 87.97
_cell_angle_gamma 65.89
_space_group_name_H-M_alt 'P 1'
_space_group_IT_number 1
loop_
_space_group_symop_operation_xyz
'x,y,z'
loop_
_atom_site_label
_atom_site_fract_x
_atom_site_fract_y
_atom_site_fract_z
_atom_site_occupancy
Se1 0.633 0.633 0.211 1
K1 0.000 0.000 0.500 1
O1 0.725 0.221 0.811 1
O2 0.769 0.769 0.054 1
O3 0.301 0.301 0.604 1
O4 0.231 0.231 0.946 1
O5 0.221 0.725 0.811 1
Se2 0.367 0.367 0.789 1
Zr1 0.000 0.000 0.000 1
O6 0.779 0.275 0.189 1
O7 0.699 0.699 0.396 1
O8 0.275 0.779 0.189 1
# density	3.2	g/cm3
# ΔE_f (raw)	-16.9	eV/f.u.

=====

[11]
# KSi2O | Alexandria via LeMat-Bulk | PBE-GGA | relaxed
data_KSi2O
_cell_length_a 4.792
_cell_length_b 4.792
_cell_length_c 7.982
_cell_angle_alpha 72.53
_cell_angle_beta 72.53
_cell_angle_gamma 90.00
_space_group_name_H-M_alt 'P 1'
_space_group_IT_number 1
loop_
_space_group_symop_operation_xyz
'x,y,z'
loop_
_atom_site_label
_atom_site_fract_x
_atom_site_fract_y
_atom_site_fract_z
_atom_site_occupancy
K1 0.750 0.250 0.500 1
K2 0.000 0.000 0.000 1
Si1 0.375 0.625 0.250 1
O1 0.500 0.500 0.000 1
Si2 0.375 0.125 0.250 1
Si3 0.875 0.625 0.750 1
O2 0.250 0.750 0.500 1
Si4 0.375 0.625 0.750 1
# density	2.2	g/cm3
# ΔE_f (raw)	-0.4	eV/f.u.

=====

[12]
# K2Si2O5 | Alexandria via LeMat-Bulk | PBE-GGA | relaxed
data_K2Si2O5
_cell_length_a 10.125
_cell_length_b 10.151
_cell_length_c 10.151
_cell_angle_alpha 111.56
_cell_angle_beta 111.69
_cell_angle_gamma 68.31
_space_group_name_H-M_alt 'P 1'
_space_group_IT_number 1
loop_
_space_group_symop_operation_xyz
'x,y,z'
loop_
_atom_site_label
_atom_site_fract_x
_atom_site_fract_y
_atom_site_fract_z
_atom_site_occupancy
O1 0.341 0.440 0.320 1
O2 0.839 0.212 0.131 1
O3 0.567 0.417 0.067 1
O4 0.705 0.522 0.592 1
Si1 0.168 0.362 0.601 1
K1 0.963 0.684 0.364 1
Si2 0.236 0.846 0.613 1
O5 0.717 0.440 0.822 1
O6 0.239 0.004 0.301 1
K2 0.019 0.673 0.858 1
K3 0.123 0.285 0.164 1
K4 0.029 0.210 0.762 1
O7 0.260 0.666 0.550 1
K5 0.427 0.614 0.900 1
Si3 0.668 0.399 0.638 1
O8 0.339 0.869 0.788 1
O9 0.739 0.699 0.996 1
O10 0.242 0.438 0.765 1
O11 0.325 0.885 0.527 1
O12 0.217 0.178 0.560 1
Si4 0.826 0.517 0.513 1
O13 0.555 0.962 0.003 1
K6 0.529 0.238 0.790 1
Si5 0.326 0.026 0.479 1
O14 0.744 0.905 0.265 1
Si6 0.826 0.521 0.974 1
K7 0.927 0.100 0.386 1
Si7 0.720 0.874 0.094 1
O15 0.742 0.235 0.562 1
O16 0.985 0.394 0.562 1
O17 0.825 0.473 0.115 1
O18 0.841 0.680 0.560 1
O19 0.844 0.929 0.070 1
K8 0.788 0.964 0.573 1
O20 0.485 0.438 0.606 1
K9 0.519 0.142 0.327 1
O21 0.055 0.997 0.038 1
O22 0.783 0.039 0.845 1
O23 0.760 0.450 0.334 1
O24 0.244 0.735 0.095 1
O25 0.283 0.155 0.961 1
O26 0.067 0.933 0.583 1
K10 0.623 0.836 0.715 1
Si8 0.326 0.487 0.483 1
O27 0.992 0.479 0.969 1
Si9 0.873 0.046 0.011 1
Si10 0.220 0.906 0.126 1
O28 0.205 0.408 0.478 1
O29 0.344 0.930 0.071 1
O30 0.492 0.031 0.521 1
K11 0.463 0.636 0.316 1
Si11 0.373 0.989 0.954 1
Si12 0.736 0.387 0.154 1
K12 0.288 0.427 0.036 1
# density	2.5	g/cm3
# ΔE_f (raw)	-22.7	eV/f.u.

=====

[13]
# KSiO2 | Alexandria via LeMat-Bulk | PBE-GGA | relaxed
data_KSiO2
_cell_length_a 6.764
_cell_length_b 6.764
_cell_length_c 6.764
_cell_angle_alpha 30.54
_cell_angle_beta 30.54
_cell_angle_gamma 30.54
_space_group_name_H-M_alt 'P 1'
_space_group_IT_number 1
loop_
_space_group_symop_operation_xyz
'x,y,z'
loop_
_atom_site_label
_atom_site_fract_x
_atom_site_fract_y
_atom_site_fract_z
_atom_site_occupancy
O1 0.919 0.919 0.919 1
Si1 0.000 0.000 0.000 1
K1 0.500 0.500 0.500 1
O2 0.081 0.081 0.081 1
# density	2.3	g/cm3
# ΔE_f (raw)	-6.0	eV/f.u.

=====

[14]
# K5SiO4 | Alexandria via LeMat-Bulk | PBE-GGA | relaxed
data_K5SiO4
_cell_length_a 6.216
_cell_length_b 8.847
_cell_length_c 7.728
_cell_angle_alpha 90.00
_cell_angle_beta 90.00
_cell_angle_gamma 90.00
_space_group_name_H-M_alt 'P 1'
_space_group_IT_number 1
loop_
_space_group_symop_operation_xyz
'x,y,z'
loop_
_atom_site_label
_atom_site_fract_x
_atom_site_fract_y
_atom_site_fract_z
_atom_site_occupancy
K1 0.259 0.313 0.253 1
O1 0.044 0.156 0.000 1
K2 0.259 0.687 0.747 1
O2 0.353 0.000 0.179 1
K3 0.207 0.000 0.500 1
K4 0.741 0.187 0.753 1
K5 0.793 0.500 0.000 1
K6 0.741 0.813 0.247 1
K7 0.741 0.187 0.247 1
O3 0.353 0.000 0.821 1
K8 0.741 0.813 0.753 1
Si1 0.800 0.500 0.500 1
O4 0.956 0.344 0.500 1
O5 0.647 0.500 0.679 1
Si2 0.200 0.000 0.000 1
O6 0.647 0.500 0.321 1
O7 0.956 0.656 0.500 1
K9 0.259 0.687 0.253 1
K10 0.259 0.313 0.747 1
O8 0.044 0.844 0.000 1
# density	2.2	g/cm3
# ΔE_f (raw)	-16.7	eV/f.u.

=====

[15]
# K2Si4O9 | Alexandria via LeMat-Bulk | PBE-GGA | relaxed
data_K2Si4O9
_cell_length_a 5.022
_cell_length_b 8.544
_cell_length_c 12.407
_cell_angle_alpha 70.28
_cell_angle_beta 89.66
_cell_angle_gamma 88.69
_space_group_name_H-M_alt 'P 1'
_space_group_IT_number 1
loop_
_space_group_symop_operation_xyz
'x,y,z'
loop_
_atom_site_label
_atom_site_fract_x
_atom_site_fract_y
_atom_site_fract_z
_atom_site_occupancy
O1 0.598 0.401 0.905 1
Si1 0.290 0.333 0.937 1
O2 0.711 0.657 0.720 1
K1 0.747 0.600 0.345 1
K2 0.765 0.067 0.865 1
O3 0.585 0.783 0.500 1
O4 0.765 0.979 0.615 1
O5 0.233 0.720 0.361 1
O6 0.767 0.280 0.639 1
O7 0.235 0.021 0.385 1
O8 0.250 0.167 0.910 1
O9 0.913 0.242 0.436 1
O10 0.289 0.343 0.280 1
O11 0.756 0.690 0.925 1
O12 0.750 0.833 0.090 1
O13 0.087 0.758 0.564 1
Si2 0.211 0.440 0.146 1
O14 0.903 0.508 0.140 1
Si3 0.723 0.183 0.553 1
Si4 0.215 0.202 0.401 1
O15 0.244 0.310 0.075 1
Si5 0.789 0.560 0.854 1
O16 0.097 0.492 0.860 1
Si6 0.277 0.817 0.447 1
K3 0.235 0.933 0.135 1
K4 0.253 0.400 0.655 1
Si7 0.710 0.667 0.063 1
Si8 0.785 0.798 0.599 1
O17 0.415 0.217 0.500 1
O18 0.402 0.599 0.095 1
# density	2.2	g/cm3
# ΔE_f (raw)	-39.7	eV/f.u.